# 1
# GGA-PBE KBiBr, optimized geometry
data_KBiBr
_chemical_formula_sum 'K2 Bi2 Br2'
_space_group_name_H-M_alt 'P 1'
_space_group_IT_number 1
_cell_length_a 4.502
_cell_length_b 6.116
_cell_length_c 9.806
_cell_angle_alpha 72.54
_cell_angle_beta 89.97
_cell_angle_gamma 68.55
loop_
_space_group_symop_operation_xyz
'x,y,z'
loop_
_atom_site_label
_atom_site_type_symbol
_atom_site_fract_x
_atom_site_fract_y
_atom_site_fract_z
K1 K 0.000 0.000 0.000
K2 K 0.161 0.671 0.673
Bi1 Bi 0.507 0.981 0.322
Bi2 Bi 0.831 0.336 0.315
Br1 Br 0.695 0.608 0.956
Br2 Br 0.863 0.263 0.645
# E_form (uncorrected): -0.9266 eV/atom
# total moment: 0.00 μB per formula unit
# total DFT energy (no corrections): -3.14 eV/atom

***

# 2
# GGA-PBE KBiBr2, optimized geometry
data_KBiBr2
_chemical_formula_sum 'K2 Bi2 Br4'
_space_group_name_H-M_alt 'P 1'
_space_group_IT_number 1
_cell_length_a 10.285
_cell_length_b 10.285
_cell_length_c 10.285
_cell_angle_alpha 145.62
_cell_angle_beta 145.62
_cell_angle_gamma 49.40
loop_
_space_group_symop_operation_xyz
'x,y,z'
loop_
_atom_site_label
_atom_site_type_symbol
_atom_site_fract_x
_atom_site_fract_y
_atom_site_fract_z
K1 K 0.000 0.000 0.000
K2 K 0.750 0.250 0.500
Bi1 Bi 0.250 0.750 0.500
Bi2 Bi 0.500 0.500 0.000
Br1 Br 0.178 0.625 0.053
Br2 Br 0.375 0.428 0.553
Br3 Br 0.572 0.125 0.947
Br4 Br 0.875 0.822 0.447
# E_form (uncorrected): -0.6708 eV/atom
# total moment: 0.00 μB per formula unit
# total DFT energy (no corrections): -2.75 eV/atom
# offset from the most stable computed form: 19.49 kJ per mole of atoms

***

# 3
# GGA-PBE KBiBr6, optimized geometry
data_KBiBr6
_chemical_formula_sum 'K1 Bi1 Br6'
_space_group_name_H-M_alt 'P 1'
_space_group_IT_number 1
_cell_length_a 6.369
_cell_length_b 7.336
_cell_length_c 7.812
_cell_angle_alpha 69.61
_cell_angle_beta 80.81
_cell_angle_gamma 75.37
loop_
_space_group_symop_operation_xyz
'x,y,z'
loop_
_atom_site_label
_atom_site_type_symbol
_atom_site_fract_x
_atom_site_fract_y
_atom_site_fract_z
K1 K 0.000 0.000 0.000
Bi1 Bi 0.500 0.500 0.500
Br1 Br 0.170 0.656 0.749
Br2 Br 0.199 0.429 0.333
Br3 Br 0.474 0.878 0.239
Br4 Br 0.526 0.122 0.761
Br5 Br 0.801 0.571 0.667
Br6 Br 0.830 0.344 0.251
# E_form (uncorrected): -0.6601 eV/atom
# total moment: 0.00 μB per formula unit
# total DFT energy (no corrections): -2.54 eV/atom

***

# 4
# GGA-PBE KBi3Br, optimized geometry
data_KBi3Br
_chemical_formula_sum 'K1 Bi3 Br1'
_space_group_name_H-M_alt 'P 1'
_space_group_IT_number 1
_cell_length_a 6.088
_cell_length_b 6.088
_cell_length_c 6.088
_cell_angle_alpha 90.00
_cell_angle_beta 90.00
_cell_angle_gamma 90.00
loop_
_space_group_symop_operation_xyz
'x,y,z'
loop_
_atom_site_label
_atom_site_type_symbol
_atom_site_fract_x
_atom_site_fract_y
_atom_site_fract_z
K1 K 0.000 0.000 0.000
Bi1 Bi 0.000 0.000 0.500
Bi2 Bi 0.000 0.500 0.000
Bi3 Bi 0.500 0.000 0.000
Br1 Br 0.500 0.500 0.500
# E_form (uncorrected): 1.0219 eV/atom
# total moment: 0.00 μB per formula unit
# total DFT energy (no corrections): -1.86 eV/atom
# offset from the most stable computed form: 63.97 kJ per mole of atoms

***

# 5
# GGA-PBE KBiBr3, optimized geometry
data_KBiBr3
_chemical_formula_sum 'K2 Bi2 Br6'
_space_group_name_H-M_alt 'P 1'
_space_group_IT_number 1
_cell_length_a 4.000
_cell_length_b 10.192
_cell_length_c 10.228
_cell_angle_alpha 77.85
_cell_angle_beta 89.98
_cell_angle_gamma 89.96
loop_
_space_group_symop_operation_xyz
'x,y,z'
loop_
_atom_site_label
_atom_site_type_symbol
_atom_site_fract_x
_atom_site_fract_y
_atom_site_fract_z
K1 K 0.003 0.294 0.296
K2 K 0.997 0.706 0.704
Bi1 Bi 0.500 0.179 0.821
Bi2 Bi 0.500 0.821 0.179
Br1 Br 0.497 0.813 0.451
Br2 Br 0.498 0.453 0.812
Br3 Br 0.498 0.875 0.875
Br4 Br 0.502 0.125 0.125
Br5 Br 0.502 0.547 0.188
Br6 Br 0.503 0.187 0.549
# E_form (uncorrected): -0.9970 eV/atom
# total moment: 0.00 μB per formula unit
# total DFT energy (no corrections): -3.00 eV/atom
# offset from the most stable computed form: 0.00 kJ per mole of atoms

***

# 6
# GGA-PBE K2BiBr6, optimized geometry
data_K2BiBr6
_chemical_formula_sum 'K4 Bi2 Br12'
_space_group_name_H-M_alt 'P 1'
_space_group_IT_number 1
_cell_length_a 7.386
_cell_length_b 7.386
_cell_length_c 14.297
_cell_angle_alpha 90.00
_cell_angle_beta 90.00
_cell_angle_gamma 90.00
loop_
_space_group_symop_operation_xyz
'x,y,z'
loop_
_atom_site_label
_atom_site_type_symbol
_atom_site_fract_x
_atom_site_fract_y
_atom_site_fract_z
K1 K 0.000 0.000 0.166
K2 K 0.000 0.000 0.834
K3 K 0.500 0.500 0.334
K4 K 0.500 0.500 0.666
Bi1 Bi 0.000 0.000 0.500
Bi2 Bi 0.500 0.500 0.000
Br1 Br 0.184 0.184 0.356
Br2 Br 0.184 0.184 0.644
Br3 Br 0.230 0.230 0.000
Br4 Br 0.270 0.730 0.500
Br5 Br 0.316 0.684 0.144
Br6 Br 0.316 0.684 0.856
Br7 Br 0.684 0.316 0.144
Br8 Br 0.684 0.316 0.856
Br9 Br 0.730 0.270 0.500
Br10 Br 0.770 0.770 0.000
Br11 Br 0.816 0.816 0.356
Br12 Br 0.816 0.816 0.644
# E_form (uncorrected): -1.0161 eV/atom
# total moment: 0.02 μB per formula unit
# total DFT energy (no corrections): -2.81 eV/atom